This record from Alexandria via LeMat-Bulk describes a PBEsol-optimized structure of NaPr9Si6S2O24. The functional is SCAN.

Unit cell a=6.9268 b=9.7842 c=16.9539 alpha=89.95 beta=90.00 gamma=90.00
Fractional positions:
Na1 0.7440 0.9995 0.6659
Na2 0.2560 0.4995 0.1659
Pr1 0.5086 0.8800 0.8744
Pr2 0.7537 0.5007 0.8337
Pr3 0.2531 0.4991 0.8332
Pr4 0.5052 0.3720 0.6226
Pr5 0.4914 0.3800 0.3744
Pr6 0.9998 0.2555 0.5017
Pr7 0.4968 0.2477 0.0026
Pr8 0.0021 0.1205 0.8762
Pr9 0.2526 0.0002 0.6667
Pr10 0.7469 0.9991 0.3332
Pr11 0.2463 0.0007 0.3337
Pr12 0.4948 0.8720 0.1226
Pr13 0.0002 0.7555 0.0017
Pr14 0.5032 0.7477 0.5026
Pr15 0.9954 0.6264 0.6218
Pr16 0.9979 0.6205 0.3762
Pr17 0.7474 0.5002 0.1667
Pr18 0.0046 0.1264 0.1218
Si1 0.4974 0.6708 0.7025
Si2 0.4992 0.6109 0.9842
Si3 0.0039 0.2762 0.6904
Si4 0.5025 0.2181 0.8133
Si5 0.5026 0.1708 0.2025
Si6 0.5008 0.1109 0.4842
Si7 0.0022 0.8976 0.5169
Si8 0.0063 0.8263 0.7930
Si9 0.9961 0.7762 0.1904
Si10 0.4975 0.7181 0.3133
Si11 0.9978 0.3976 0.0169
Si12 0.9937 0.3263 0.2930
S1 0.7412 0.4971 0.4943
S2 0.7488 0.0029 0.0054
S3 0.2589 0.9971 0.9943
S4 0.2512 0.5029 0.5054
O1 0.6904 0.6896 0.9475
O2 0.3087 0.6876 0.9461
O3 0.0057 0.6702 0.8282
O4 0.5077 0.6744 0.8001
O5 0.3049 0.5757 0.6857
O6 0.6862 0.5767 0.6785
O7 0.5019 0.4624 0.9372
O8 0.0030 0.4066 0.7510
O9 0.9969 0.4211 0.9212
O10 0.5109 0.3629 0.7626
O11 0.2005 0.2626 0.6364
O12 0.8309 0.2962 0.6260
O13 0.6891 0.2304 0.8734
O14 0.3082 0.2395 0.8684
O15 0.6913 0.1876 0.4461
O16 0.3096 0.1896 0.4475
O17 0.9943 0.1702 0.3282
O18 0.4923 0.1744 0.3001
O19 0.9939 0.1319 0.7385
O20 0.4996 0.1042 0.5792
O21 0.5000 0.0789 0.7624
O22 0.3138 0.0767 0.1785
O23 0.6951 0.0757 0.1857
O24 0.9964 0.0426 0.5643
O25 0.4981 0.9624 0.4372
O26 0.8344 0.9127 0.8361
O27 0.2032 0.9143 0.8122
O28 0.9970 0.9066 0.2510
O29 0.0031 0.9211 0.4212
O30 0.4891 0.8629 0.2626
O31 0.9930 0.8265 0.6970
O32 0.4944 0.8167 0.6582
O33 0.1963 0.8204 0.5509
O34 0.8256 0.7947 0.5401
O35 0.1691 0.7962 0.1260
O36 0.7995 0.7626 0.1364
O37 0.3109 0.7304 0.3734
O38 0.6918 0.7395 0.3684
O39 0.0061 0.6319 0.2385
O40 0.5004 0.6042 0.0792
O41 0.5000 0.5789 0.2624
O42 0.0036 0.5426 0.0643
O43 0.7968 0.4143 0.3122
O44 0.1656 0.4127 0.3361
O45 0.0070 0.3265 0.1970
O46 0.5056 0.3167 0.1582
O47 0.8037 0.3204 0.0509
O48 0.1744 0.2947 0.0401

Values from the calculation:
As for the total moment: 0.00 μB per formula unit. The calculation puts the formation energy (no corrections) at -143.24 eV per formula unit. The symmetry is No. 7. The theoretical density comes out at 5.5 g/cm³.

---

This record from Alexandria via LeMat-Bulk describes a PBEsol-optimized structure of NaPr9Si6S2O24. The functional is SCAN.

Unit cell a=6.9207 b=9.7956 c=9.7956 alpha=120.00 beta=90.00 gamma=90.00
Fractional positions:
Na1 0.4926 0.6667 0.3333
Pr1 0.2509 0.3377 0.9169
Pr2 0.2509 0.5792 0.6623
Pr3 0.2509 0.0831 0.4208
Pr4 0.7448 0.3391 0.4244
Pr5 0.7448 0.0853 0.6609
Pr6 0.7448 0.5756 0.9147
Pr7 0.0008 0.0000 0.0000
Pr8 0.5017 0.0000 0.0000
Pr9 0.0017 0.6667 0.3333
Si1 0.2486 0.9600 0.6984
Si2 0.2486 0.7383 0.0400
Si3 0.2486 0.3016 0.2617
Si4 0.7510 0.7143 0.6331
Si5 0.7510 0.9188 0.2857
Si6 0.7510 0.3669 0.0812
S1 0.4853 0.3333 0.6667
S2 0.9945 0.3333 0.6667
O1 0.2506 0.8590 0.7927
O2 0.2506 0.9336 0.1410
O3 0.2506 0.2073 0.0664
O4 0.7464 0.8106 0.5371
O5 0.7464 0.7265 0.1894
O6 0.7464 0.4629 0.2735
O7 0.4404 0.0739 0.7725
O8 0.4404 0.6986 0.9261
O9 0.4404 0.2275 0.3014
O10 0.9447 0.6023 0.5658
O11 0.9447 0.9635 0.3977
O12 0.9447 0.4342 0.0365
O13 0.5737 0.5890 0.5867
O14 0.5737 0.9977 0.4110
O15 0.5737 0.4133 0.0023
O16 0.0585 0.0765 0.7728
O17 0.0585 0.6964 0.9235
O18 0.0585 0.2272 0.3036
O19 0.2454 0.8578 0.5085
O20 0.2454 0.6507 0.1422
O21 0.2454 0.4915 0.3493
O22 0.7529 0.8349 0.8240
O23 0.7529 0.9891 0.1651
O24 0.7529 0.1760 0.0109

Values from the calculation:
As for the total moment: 0.00 μB per formula unit. The calculation puts the formation energy (no corrections) at -143.19 eV per formula unit. The symmetry is No. 143. The theoretical density comes out at 5.5 g/cm³.

---

What is the formula in the first record?
NaPr9Si6S2O24

---

Look up the formation energy (no corrections) of the second one.
-143.19 eV per formula unit